First-principles (PBE) data for a relaxed SrTa2W crystal, as listed in Alexandria via LeMat-Bulk.

Unit cell a=2.975 b=2.975 c=10.277 alpha=90.00 beta=90.00 gamma=111.80
Fractional positions:
Sr 0.000 0.000 0.000
Ta 0.500 0.500 0.294
Ta 0.500 0.500 0.706
W 0.000 0.000 0.500

Output
Spin magnetization ... 0.00 μB/f.u.
Calculated formation energy ... 2.4 eV per formula unit
Excess energy over the best structure of this formula in the dataset ... 0.14 eV per formula unit